[1]
Tl2FePb: relaxed, PBE.

Values from the calculation:
Symmetry ... Fm-3m (225)
Calculated formation energy ... 0.884 eV per atom
VASP energy ... -3.3423 eV per atom
Offset from the most stable computed form ... 511 meV per atom

a = 7.2953 Å, b = 7.2953 Å, c = 7.2953 Å
α = 90.00°, β = 90.00°, γ = 90.00°
Closest atoms and distances in Å follow each position.
Fractional coordinates of all 16 atoms:
Tl (0.2500, 0.2500, 0.2500)  4 Pb 3.16, 4 Fe 3.16
Tl (0.2500, 0.2500, 0.7500)  4 Pb 3.16, 4 Fe 3.16
Tl (0.2500, 0.7500, 0.2500)  4 Pb 3.16, 4 Fe 3.16
Tl (0.2500, 0.7500, 0.7500)  4 Pb 3.16, 4 Fe 3.16
Tl (0.7500, 0.2500, 0.2500)  4 Pb 3.16, 4 Fe 3.16
Tl (0.7500, 0.2500, 0.7500)  4 Pb 3.16, 4 Fe 3.16
Tl (0.7500, 0.7500, 0.2500)  4 Pb 3.16, 4 Fe 3.16
Tl (0.7500, 0.7500, 0.7500)  4 Pb 3.16, 4 Fe 3.16
Fe (0.0000, 0.0000, 0.0000)  8 Tl 3.16
Fe (0.0000, 0.5000, 0.5000)  8 Tl 3.16
Fe (0.5000, 0.0000, 0.5000)  8 Tl 3.16
Fe (0.5000, 0.5000, 0.0000)  8 Tl 3.16
Pb (0.0000, 0.0000, 0.5000)  8 Tl 3.16
Pb (0.0000, 0.5000, 0.0000)  8 Tl 3.16
Pb (0.5000, 0.0000, 0.0000)  8 Tl 3.16
Pb (0.5000, 0.5000, 0.5000)  8 Tl 3.16



[2]
Tl2FePb: relaxed, PBE.

Values from the calculation:
Symmetry ... C2/m (12)
Calculated formation energy ... 0.401 eV per atom
VASP energy ... -3.8251 eV per atom
Offset from the most stable computed form ... 28 meV per atom

a = 14.9996 Å, b = 3.2269 Å, c = 4.5705 Å
α = 90.00°, β = 107.68°, γ = 90.00°
Closest atoms and distances in Å follow each position.
Fractional coordinates of all 8 atoms:
Tl (0.1803, 0.0000, 0.1803)  2 Fe 3.04, 2 Tl 3.23
Tl (0.3197, 0.5000, 0.8197)  2 Fe 3.04, 2 Tl 3.23
Tl (0.6803, 0.5000, 0.1803)  2 Fe 3.04, 2 Tl 3.23
Tl (0.8197, 0.0000, 0.8197)  2 Fe 3.04, 2 Tl 3.23
Fe (0.0000, 0.5000, 0.0000)  4 Pb 2.80, 4 Tl 3.04
Fe (0.5000, 0.0000, 0.0000)  4 Pb 2.80, 4 Tl 3.04
Pb (0.0000, 0.0000, 0.5000)  4 Fe 2.80
Pb (0.5000, 0.5000, 0.5000)  4 Fe 2.80



Q: The lowest calculated formation energy belongs to which entry?
A: number 2



Q: Which value of calculated formation energy does entry 2 give?
A: 0.401 eV per atom